Record 1
SmIn2Hg8: relaxed, PBE.

## Properties
Offset from the most stable computed form in kJ/mol of atoms: 2.9
D(E_F) in states/eV per atom: 0.35
VASP energy in eV/atom: -1.243
Crystal system: monoclinic

CIF file:
```
data_SmIn2Hg8
_chemical_formula_sum 'Sm2 In4 Hg16'
_cell_length_a 9.429
_cell_length_b 13.410
_cell_length_c 4.686
_cell_angle_alpha 90.00
_cell_angle_beta 90.21
_cell_angle_gamma 90.00
_space_group_name_H-M_alt 'C 1 2/m 1'
_space_group_IT_number 12
loop_
_space_group_symop_operation_xyz
'x,y,z'
'-x,-y,-z'
'-x,y,-z'
'x,-y,z'
'x+1/2,y+1/2,z'
'-x+1/2,-y+1/2,-z'
'-x+1/2,y+1/2,-z'
'x+1/2,-y+1/2,z'
loop_
_atom_site_label
_atom_site_type_symbol
_atom_site_fract_x
_atom_site_fract_y
_atom_site_fract_z
Sm1 Sm 0.000 0.000 0.000
In1 In 0.000 0.380 0.500
Hg1 Hg 0.000 0.239 0.000
Hg2 Hg 0.168 0.500 0.000
Hg3 Hg 0.176 0.133 0.500
```


Record 2
Sm8InHg2: relaxed, PBE.

## Properties
Offset from the most stable computed form in kJ/mol of atoms: 0.0
D(E_F) in states/eV per atom: 0.97
VASP energy in eV/atom: -3.988
Crystal system: monoclinic

CIF file:
```
data_Sm8InHg2
_chemical_formula_sum 'Sm16 In2 Hg4'
_cell_length_a 16.618
_cell_length_b 5.413
_cell_length_c 8.688
_cell_angle_alpha 90.00
_cell_angle_beta 120.82
_cell_angle_gamma 90.00
_space_group_name_H-M_alt 'C 1 2/m 1'
_space_group_IT_number 12
loop_
_space_group_symop_operation_xyz
'x,y,z'
'-x,-y,-z'
'-x,y,-z'
'x,-y,z'
'x+1/2,y+1/2,z'
'-x+1/2,-y+1/2,-z'
'-x+1/2,y+1/2,-z'
'x+1/2,-y+1/2,z'
loop_
_atom_site_label
_atom_site_type_symbol
_atom_site_fract_x
_atom_site_fract_y
_atom_site_fract_z
Sm1 Sm 0.069 0.000 0.221
Sm2 Sm 0.093 0.500 0.951
Sm3 Sm 0.140 0.000 0.693
Sm4 Sm 0.181 0.500 0.453
In1 In 0.000 0.500 0.500
Hg1 Hg 0.224 0.000 0.118
```


Record 3
Sm6InHg2: relaxed, PBE.

## Properties
Offset from the most stable computed form in kJ/mol of atoms: 0.0
D(E_F) in states/eV per atom: 1.47
VASP energy in eV/atom: -3.813
Crystal system: orthorhombic

CIF file:
```
data_Sm6InHg2
_chemical_formula_sum 'Sm24 In4 Hg8'
_cell_length_a 5.251
_cell_length_b 12.998
_cell_length_c 15.747
_cell_angle_alpha 90.00
_cell_angle_beta 90.00
_cell_angle_gamma 90.00
_space_group_name_H-M_alt 'F m m m'
_space_group_IT_number 69
_space_group_name_Hall '-F 2 2'
loop_
_atom_site_label
_atom_site_type_symbol
_atom_site_fract_x
_atom_site_fract_y
_atom_site_fract_z
Sm1 Sm 0.000 0.152 0.169
Sm2 Sm 0.000 0.158 0.500
In1 In 0.000 0.000 0.000
Hg1 Hg 0.000 0.000 0.338
```


Record 4
Sm3InHg3: relaxed, PBE.

## Properties
Offset from the most stable computed form in kJ/mol of atoms: 0.0
D(E_F) in states/eV per atom: 0.88
VASP energy in eV/atom: -2.908
Crystal system: hexagonal

CIF file:
```
data_Sm3InHg3
_chemical_formula_sum 'Sm6 In2 Hg6'
_cell_length_a 9.3233
_cell_length_b 9.3233
_cell_length_c 5.1525
_cell_angle_alpha 90.00
_cell_angle_beta 90.00
_cell_angle_gamma 120.00
_space_group_name_H-M_alt 'P 63/m'
_space_group_IT_number 176
_space_group_name_Hall '-P 6c'
loop_
_atom_site_label
_atom_site_type_symbol
_atom_site_fract_x
_atom_site_fract_y
_atom_site_fract_z
Sm1 Sm 0.1005 0.4448 0.2500
In1 In 0.3333 0.6667 0.7500
Hg1 Hg 0.0392 0.2351 0.7500
```


Record 5
SmIn5Hg6: relaxed, PBE.

## Properties
D(E_F) in states/eV per atom: 0.41
VASP energy in eV/atom: -1.801
Crystal system: orthorhombic

CIF file:
```
data_SmIn5Hg6
_chemical_formula_sum 'Sm2 In10 Hg12'
_cell_length_a 4.921
_cell_length_b 15.595
_cell_length_c 8.062
_cell_angle_alpha 90.00
_cell_angle_beta 90.00
_cell_angle_gamma 90.00
_space_group_name_H-M_alt 'C m m m'
_space_group_IT_number 65
_space_group_name_Hall '-C 2 2'
loop_
_atom_site_label
_atom_site_type_symbol
_atom_site_fract_x
_atom_site_fract_y
_atom_site_fract_z
Sm1 Sm 0.000 0.000 0.000
In1 In 0.000 0.000 0.500
In2 In 0.000 0.325 0.500
In3 In 0.000 0.337 0.000
Hg1 Hg 0.000 0.167 0.244
Hg2 Hg 0.000 0.500 0.263
```


Record 6
Sm3InHg12: relaxed, PBE.

## Properties
D(E_F) in states/eV per atom: 0.65
VASP energy in eV/atom: -1.547
Crystal system: tetragonal

CIF file:
```
data_Sm3InHg12
_chemical_formula_sum 'Sm3 In1 Hg12'
_cell_length_a 4.697
_cell_length_b 4.697
_cell_length_c 18.384
_cell_angle_alpha 90.00
_cell_angle_beta 90.00
_cell_angle_gamma 90.00
_space_group_name_H-M_alt 'P 4/m m m'
_space_group_IT_number 123
_space_group_name_Hall '-P 4 2'
loop_
_atom_site_label
_atom_site_type_symbol
_atom_site_fract_x
_atom_site_fract_y
_atom_site_fract_z
Sm1 Sm 0.000 0.000 0.000
Sm2 Sm 0.000 0.000 0.258
In1 In 0.000 0.000 0.500
Hg1 Hg 0.000 0.500 0.125
Hg2 Hg 0.000 0.500 0.377
Hg3 Hg 0.500 0.500 0.000
Hg4 Hg 0.500 0.500 0.247
Hg5 Hg 0.500 0.500 0.500
```


Record 7
SmIn3Hg12: relaxed, PBE.

## Properties
D(E_F) in states/eV per atom: 0.41
VASP energy in eV/atom: -1.121
Crystal system: orthorhombic

CIF file:
```
data_SmIn3Hg12
_chemical_formula_sum 'Sm1 In3 Hg12'
_cell_length_a 4.235
_cell_length_b 4.864
_cell_length_c 20.337
_cell_angle_alpha 90.00
_cell_angle_beta 90.00
_cell_angle_gamma 90.00
_space_group_name_H-M_alt 'P m m m'
_space_group_IT_number 47
loop_
_space_group_symop_operation_xyz
'x,y,z'
'-x,-y,-z'
'-x,-y,z'
'x,y,-z'
'x,-y,-z'
'-x,y,z'
'-x,y,-z'
'x,-y,z'
loop_
_atom_site_label
_atom_site_type_symbol
_atom_site_fract_x
_atom_site_fract_y
_atom_site_fract_z
Sm1 Sm 0.000 0.000 0.000
In1 In 0.000 0.000 0.246
In2 In 0.000 0.000 0.500
Hg1 Hg 0.000 0.500 0.121
Hg2 Hg 0.000 0.500 0.373
Hg3 Hg 0.500 0.000 0.122
Hg4 Hg 0.500 0.000 0.372
Hg5 Hg 0.500 0.500 0.000
Hg6 Hg 0.500 0.500 0.247
Hg7 Hg 0.500 0.500 0.500
```


Record 8
SmIn12Hg6: relaxed, PBE.

## Properties
D(E_F) in states/eV per atom: 0.42
VASP energy in eV/atom: -2.113
Crystal system: trigonal

CIF file:
```
data_SmIn12Hg6
_chemical_formula_sum 'Sm3 In36 Hg18'
_cell_length_a 11.3895
_cell_length_b 11.3895
_cell_length_c 13.9730
_cell_angle_alpha 90.00
_cell_angle_beta 90.00
_cell_angle_gamma 120.00
_space_group_name_H-M_alt 'R -3'
_space_group_IT_number 148
_space_group_name_Hall '-R 3'
loop_
_atom_site_label
_atom_site_type_symbol
_atom_site_fract_x
_atom_site_fract_y
_atom_site_fract_z
Sm1 Sm 0.0000 0.0000 0.0000
In1 In 0.0451 0.8606 0.4051
In2 In 0.0973 0.8971 0.1841
Hg1 Hg 0.0116 0.4713 0.6250
```


Record 9
SmIn2Hg8: relaxed, PBE.

## Properties
Offset from the most stable computed form in kJ/mol of atoms: 0.0
D(E_F) in states/eV per atom: 0.42
VASP energy in eV/atom: -1.273
Crystal system: monoclinic

CIF file:
```
data_SmIn2Hg8
_chemical_formula_sum 'Sm2 In4 Hg16'
_cell_length_a 16.786
_cell_length_b 4.777
_cell_length_c 7.410
_cell_angle_alpha 90.00
_cell_angle_beta 108.39
_cell_angle_gamma 90.00
_space_group_name_H-M_alt 'C 1 2/m 1'
_space_group_IT_number 12
loop_
_space_group_symop_operation_xyz
'x,y,z'
'-x,-y,-z'
'-x,y,-z'
'x,-y,z'
'x+1/2,y+1/2,z'
'-x+1/2,-y+1/2,-z'
'-x+1/2,y+1/2,-z'
'x+1/2,-y+1/2,z'
loop_
_atom_site_label
_atom_site_type_symbol
_atom_site_fract_x
_atom_site_fract_y
_atom_site_fract_z
Sm1 Sm 0.000 0.000 0.000
In1 In 0.228 0.500 0.646
Hg1 Hg 0.042 0.500 0.733
Hg2 Hg 0.092 0.000 0.460
Hg3 Hg 0.141 0.500 0.186
Hg4 Hg 0.177 0.000 0.906
```


Record 10
Sm3In2Hg3: relaxed, PBE.

## Properties
D(E_F) in states/eV per atom: 0.58
VASP energy in eV/atom: -2.999
Crystal system: orthorhombic

CIF file:
```
data_Sm3In2Hg3
_chemical_formula_sum 'Sm12 In8 Hg12'
_cell_length_a 4.723
_cell_length_b 11.647
_cell_length_c 15.659
_cell_angle_alpha 90.00
_cell_angle_beta 90.00
_cell_angle_gamma 90.00
_space_group_name_H-M_alt 'C m c m'
_space_group_IT_number 63
_space_group_name_Hall '-C 2c 2'
loop_
_atom_site_label
_atom_site_type_symbol
_atom_site_fract_x
_atom_site_fract_y
_atom_site_fract_z
Sm1 Sm 0.000 0.080 0.110
Sm2 Sm 0.000 0.358 0.250
In1 In 0.000 0.209 0.610
Hg1 Hg 0.000 0.376 0.750
Hg2 Hg 0.000 0.383 0.035
```


Record 11
Sm5InHg2: relaxed, PBE.

## Properties
D(E_F) in states/eV per atom: 1.11
VASP energy in eV/atom: -3.720
Crystal system: tetragonal

CIF file:
```
data_Sm5InHg2
_chemical_formula_sum 'Sm20 In4 Hg8'
_cell_length_a 8.518
_cell_length_b 8.518
_cell_length_c 13.130
_cell_angle_alpha 90.00
_cell_angle_beta 90.00
_cell_angle_gamma 90.00
_space_group_name_H-M_alt 'I 4/m c m'
_space_group_IT_number 140
_space_group_name_Hall '-I 4 2c'
loop_
_atom_site_label
_atom_site_type_symbol
_atom_site_fract_x
_atom_site_fract_y
_atom_site_fract_z
Sm1 Sm 0.000 0.000 0.000
Sm2 Sm 0.154 0.346 0.150
In1 In 0.000 0.000 0.250
Hg1 Hg 0.139 0.361 0.500
```


Record 12
SmIn6Hg12: relaxed, PBE.

## Properties
Offset from the most stable computed form in kJ/mol of atoms: 2.2
D(E_F) in states/eV per atom: 0.44
VASP energy in eV/atom: -1.348
Crystal system: trigonal

CIF file:
```
data_SmIn6Hg12
_chemical_formula_sum 'Sm3 In18 Hg36'
_cell_length_a 11.5108
_cell_length_b 11.5108
_cell_length_c 13.3893
_cell_angle_alpha 90.00
_cell_angle_beta 90.00
_cell_angle_gamma 120.00
_space_group_name_H-M_alt 'R -3'
_space_group_IT_number 148
_space_group_name_Hall '-R 3'
loop_
_atom_site_label
_atom_site_type_symbol
_atom_site_fract_x
_atom_site_fract_y
_atom_site_fract_z
Sm1 Sm 0.0000 0.0000 0.0000
In1 In 0.0094 0.5616 0.7063
Hg1 Hg 0.0380 0.8542 0.8075
Hg2 Hg 0.0745 0.2178 0.4098
```


Record 13
SmIn3Hg3: relaxed, PBE.

## Properties
Offset from the most stable computed form in kJ/mol of atoms: 0.0
D(E_F) in states/eV per atom: 0.63
VASP energy in eV/atom: -2.138
Crystal system: hexagonal

CIF file:
```
data_SmIn3Hg3
_chemical_formula_sum 'Sm2 In6 Hg6'
_cell_length_a 9.0483
_cell_length_b 9.0483
_cell_length_c 5.1291
_cell_angle_alpha 90.00
_cell_angle_beta 90.00
_cell_angle_gamma 120.00
_space_group_name_H-M_alt 'P 63/m'
_space_group_IT_number 176
_space_group_name_Hall '-P 6c'
loop_
_atom_site_label
_atom_site_type_symbol
_atom_site_fract_x
_atom_site_fract_y
_atom_site_fract_z
Sm1 Sm 0.3333 0.6667 0.2500
In1 In 0.0323 0.2389 0.2500
Hg1 Hg 0.0952 0.4773 0.7500
```


Record 14
SmIn6Hg12: relaxed, PBE.

## Properties
Offset from the most stable computed form in kJ/mol of atoms: 0.0
D(E_F) in states/eV per atom: 0.39
VASP energy in eV/atom: -1.370
Crystal system: trigonal

CIF file:
```
data_SmIn6Hg12
_chemical_formula_sum 'Sm3 In18 Hg36'
_cell_length_a 14.3121
_cell_length_b 14.3121
_cell_length_c 8.3888
_cell_angle_alpha 90.00
_cell_angle_beta 90.00
_cell_angle_gamma 120.00
_space_group_name_H-M_alt 'R -3'
_space_group_IT_number 148
_space_group_name_Hall '-R 3'
loop_
_atom_site_label
_atom_site_type_symbol
_atom_site_fract_x
_atom_site_fract_y
_atom_site_fract_z
Sm1 Sm 0.0000 0.0000 0.0000
In1 In 0.0306 0.7588 0.3571
Hg1 Hg 0.0155 0.8755 0.6774
Hg2 Hg 0.0697 0.5035 0.6632
```


Record 15
Sm2In2Hg: relaxed, PBE.

## Properties
Offset from the most stable computed form in kJ/mol of atoms: 16.4
D(E_F) in states/eV per atom: 0.86
VASP energy in eV/atom: -3.324
Crystal system: tetragonal

CIF file:
```
data_Sm2In2Hg
_chemical_formula_sum 'Sm4 In4 Hg2'
_cell_length_a 8.898
_cell_length_b 8.898
_cell_length_c 3.799
_cell_angle_alpha 90.00
_cell_angle_beta 90.00
_cell_angle_gamma 90.00
_space_group_name_H-M_alt 'P 4/m b m'
_space_group_IT_number 127
_space_group_name_Hall '-P 4 2ab'
loop_
_atom_site_label
_atom_site_type_symbol
_atom_site_fract_x
_atom_site_fract_y
_atom_site_fract_z
Sm1 Sm 0.180 0.320 0.000
In1 In 0.119 0.619 0.500
Hg1 Hg 0.000 0.000 0.000
```


Record 16
SmIn6Hg: relaxed, PBE.

## Properties
D(E_F) in states/eV per atom: 0.69
VASP energy in eV/atom: -2.835
Crystal system: tetragonal

CIF file:
```
data_SmIn6Hg
_chemical_formula_sum 'Sm1 In6 Hg1'
_cell_length_a 6.885
_cell_length_b 6.885
_cell_length_c 4.428
_cell_angle_alpha 90.00
_cell_angle_beta 90.00
_cell_angle_gamma 90.00
_space_group_name_H-M_alt 'P 4/m m m'
_space_group_IT_number 123
_space_group_name_Hall '-P 4 2'
loop_
_atom_site_label
_atom_site_type_symbol
_atom_site_fract_x
_atom_site_fract_y
_atom_site_fract_z
Sm1 Sm 0.000 0.000 0.000
In1 In 0.000 0.500 0.000
In2 In 0.259 0.259 0.500
Hg1 Hg 0.500 0.500 0.000
```


Record 17
SmIn3Hg6: relaxed, PBE.

## Properties
D(E_F) in states/eV per atom: 0.47
VASP energy in eV/atom: -1.597
Crystal system: trigonal

CIF file:
```
data_SmIn3Hg6
_chemical_formula_sum 'Sm6 In18 Hg36'
_cell_length_a 13.7993
_cell_length_b 13.7993
_cell_length_c 9.7893
_cell_angle_alpha 90.00
_cell_angle_beta 90.00
_cell_angle_gamma 120.00
_space_group_name_H-M_alt 'R -3 c'
_space_group_IT_number 167
_space_group_name_Hall '-R 3 2"c'
loop_
_atom_site_label
_atom_site_type_symbol
_atom_site_fract_x
_atom_site_fract_y
_atom_site_fract_z
Sm1 Sm 0.0000 0.0000 0.0000
In1 In 0.0000 0.1672 0.2500
Hg1 Hg 0.0297 0.2403 0.9298
```


Record 18
Sm2InHg: relaxed, PBE.

## Properties
Offset from the most stable computed form in kJ/mol of atoms: 14.4
D(E_F) in states/eV per atom: 0.82
VASP energy in eV/atom: -3.450
Crystal system: trigonal

CIF file:
```
data_Sm2InHg
_chemical_formula_sum 'Sm6 In3 Hg3'
_cell_length_a 3.8147
_cell_length_b 3.8147
_cell_length_c 28.6612
_cell_angle_alpha 90.00
_cell_angle_beta 90.00
_cell_angle_gamma 120.00
_space_group_name_H-M_alt 'R -3 m'
_space_group_IT_number 166
_space_group_name_Hall '-R 3 2"'
loop_
_atom_site_label
_atom_site_type_symbol
_atom_site_fract_x
_atom_site_fract_y
_atom_site_fract_z
Sm1 Sm 0.0000 0.0000 0.2488
In1 In 0.0000 0.0000 0.0000
Hg1 Hg 0.0000 0.0000 0.5000
```


Record 19
Sm2InHg: relaxed, PBE.

## Properties
Offset from the most stable computed form in kJ/mol of atoms: 0.0
D(E_F) in states/eV per atom: 1.20
VASP energy in eV/atom: -3.600
Crystal system: tetragonal

CIF file:
```
data_Sm2InHg
_chemical_formula_sum 'Sm2 In1 Hg1'
_cell_length_a 3.779
_cell_length_b 3.779
_cell_length_c 7.785
_cell_angle_alpha 90.00
_cell_angle_beta 90.00
_cell_angle_gamma 90.00
_space_group_name_H-M_alt 'P 4/m m m'
_space_group_IT_number 123
_space_group_name_Hall '-P 4 2'
loop_
_atom_site_label
_atom_site_type_symbol
_atom_site_fract_x
_atom_site_fract_y
_atom_site_fract_z
Sm1 Sm 0.000 0.000 0.246
In1 In 0.500 0.500 0.500
Hg1 Hg 0.500 0.500 0.000
```


Record 20
SmInHg6: relaxed, PBE.

## Properties
Offset from the most stable computed form in kJ/mol of atoms: 0.0
D(E_F) in states/eV per atom: 0.41
VASP energy in eV/atom: -1.327
Crystal system: orthorhombic

CIF file:
```
data_SmInHg6
_chemical_formula_sum 'Sm2 In2 Hg12'
_cell_length_a 5.015
_cell_length_b 7.371
_cell_length_c 10.982
_cell_angle_alpha 90.00
_cell_angle_beta 90.00
_cell_angle_gamma 90.00
_space_group_name_H-M_alt 'A m m 2'
_space_group_IT_number 38
loop_
_space_group_symop_operation_xyz
'x,y,z'
'-x,-y,z'
'-x,y,z'
'x,-y,z'
'x,y+1/2,z+1/2'
'-x,-y+1/2,z+1/2'
'-x,y+1/2,z+1/2'
'x,-y+1/2,z+1/2'
loop_
_atom_site_label
_atom_site_type_symbol
_atom_site_fract_x
_atom_site_fract_y
_atom_site_fract_z
Sm1 Sm 0.000 0.000 0.000
In1 In 0.500 0.000 0.259
Hg1 Hg 0.000 0.000 0.471
Hg2 Hg 0.000 0.228 0.735
Hg3 Hg 0.500 0.000 0.807
Hg4 Hg 0.500 0.226 0.529
```